(1)
The following is a SCAN calculation of YSiTe2 at its PBEsol-relaxed geometry, from Alexandria.

## Properties
For the density of states at the Fermi level, the calculation gives 0.35 states/eV/atom. Its formation energy (no corrections) is -0.45 eV/atom.

Cell lengths 3.735, 3.735, 7.680 Å; angles 90.00, 90.00, 90.00 degrees
Element x y z (fractional)
Y (0.000, 0.000, 0.000)
Si (0.500, 0.500, 0.270)
Te (0.000, 0.000, 0.406)
Te (0.500, 0.500, 0.803)

(2)
The following is a SCAN calculation of Li2MgPd2 at its PBEsol-relaxed geometry, from Alexandria.

## Properties
For the density of states at the Fermi level, the calculation gives 0.23 states/eV/atom. Its energy of formation from the pure elements is -0.46 eV/atom.

Cell lengths 6.968, 6.968, 2.891 Å; angles 90.00, 90.00, 90.00 degrees
Element x y z (fractional)
Li (0.117, 0.383, 0.000)
Li (0.383, 0.883, 0.000)
Li (0.617, 0.117, 0.000)
Li (0.883, 0.617, 0.000)
Mg (0.000, 0.000, 0.000)
Mg (0.500, 0.500, 0.000)
Pd (0.182, 0.682, 0.500)
Pd (0.318, 0.182, 0.500)
Pd (0.682, 0.818, 0.500)
Pd (0.818, 0.318, 0.500)